The following is a DFT calculation (PBE) of a relaxed structure of YTaTe2.

Structure (CIF):
```
data_YTaTe2
_cell_length_a 3.8189
_cell_length_b 3.8189
_cell_length_c 7.0722
_cell_angle_alpha 90.00
_cell_angle_beta 90.00
_cell_angle_gamma 90.00
_symmetry_space_group_name_H-M 'P 4 m m'
_symmetry_Int_Tables_number 99
loop_
_symmetry_equiv_pos_as_xyz
'x,y,z'
'-y,x,z'
'-x,-y,z'
'y,-x,z'
'-x,y,z'
'y,x,z'
'x,-y,z'
'-y,-x,z'
loop_
_atom_site_label
_atom_site_type_symbol
_atom_site_fract_x
_atom_site_fract_y
_atom_site_fract_z
Y1 Y 0.0000 0.0000 0.0000
Ta1 Ta 0.5000 0.5000 0.2649
Te1 Te 0.0000 0.0000 0.4375
Te2 Te 0.5000 0.5000 0.8236
```

**Total energy**: -6.637 eV/atom
**Uncorrected formation energy**: -487.3 meV per atom